A plane-wave DFT calculation with SCAN was carried out for a PBEsol-optimized structure of POs2Ru.

total DFT energy (no corrections) = -47.268 eV/atom
calculated formation energy = -22 meV per atom

```
4
Lattice="3.7877 0.0000 0.0000 0.0000 1.3871 5.0719 0.0000 -1.3871 5.0719" Properties=species:S:1:pos:R:3 pbc="T T T"
P 0.0000 0.0000 0.0000
Os 0.0000 0.0000 7.8441
Os 1.8939 0.0000 1.5182
Ru 1.8939 0.0000 4.2440
```